Here is a geometry-optimized Cu5PPd6 structure from Alexandria via LeMat-Bulk. Energies are from PBE-GGA.

extended XYZ file:
```
12
Lattice="-2.058 3.319 6.034 2.058 -3.319 6.034 2.058 3.319 -6.034" Properties=species:S:1:pos:R:3 pbc="T T T"
Cu 0.000 0.000 0.000
Cu 2.058 0.000 1.892
Cu 0.000 0.000 3.709
Cu 0.000 0.000 8.360
Cu 0.000 3.319 4.143
P 0.000 3.319 0.000
Pd 2.058 -1.511 4.118
Pd 2.058 1.883 0.000
Pd 0.000 1.809 1.917
Pd 2.058 1.511 4.118
Pd 0.000 1.437 6.034
Pd 0.000 4.830 1.917
```

## Properties
SG: No. 71
E_form: -0.23 eV per atom
Electronic total energy: -0.183 Ha/atom
Density: 9.9 Mg/m³